<w>
This record from Alexandria describes crystalline Li6Ga2Ge at its relaxed geometry. The functional is GGA-PBE.

## Properties
Total magnetic moment (μB/cell): 0.0

Lattice parameters (Å, degrees): 5.184 5.186 5.186 95.90 95.87 95.87
Sites, in units of the cell vectors:
Li 0.835 0.500 0.165
Li 0.500 0.835 0.165
Ge 0.000 0.000 0.000
Ga 0.339 0.339 0.339
Ga 0.661 0.661 0.661
Li 0.835 0.165 0.500
Li 0.500 0.165 0.835
Li 0.165 0.500 0.835
Li 0.165 0.835 0.500

---

<x>
This record from Alexandria describes crystalline Li6Ga2Ge at its relaxed geometry. The functional is GGA-PBE.

## Properties
Total magnetic moment (μB/cell): 0.0

Lattice parameters (Å, degrees): 2.782 7.791 7.790 120.00 90.00 90.00
Sites, in units of the cell vectors:
Li 0.500 0.644 0.000
Li 0.000 0.702 0.702
Li 0.000 0.000 0.298
Li 0.500 0.356 0.356
Ga 0.000 0.667 0.333
Ge 0.500 0.000 0.000
Li 0.500 0.000 0.644
Ga 0.000 0.333 0.667
Li 0.000 0.298 0.000

---

Which structure is the least stable? The one labeled <x>.